(1)
Below is crystalline Gd2Si2Ir at its relaxed geometry, with properties calculated at the GGA-PBE level.

Cell: 5.6850 5.6850 10.2344 Å, 115.57 115.57 44.13°
Closest atoms and distances in Å follow each position.
Positions (direct):
1 Gd 0.0046 0.0046 0.3274  7 Si 2.99-3.26, 4 Ir 2.99-3.23
2 Gd 0.1905 0.1905 0.1141  6 Si 3.00-3.14, 2 Ir 3.06
3 Gd 0.8095 0.8095 0.8859  6 Si 3.00-3.14, 2 Ir 3.06
4 Gd 0.9954 0.9954 0.6726  7 Si 2.99-3.26, 4 Ir 2.99-3.23
5 Si 0.3498 0.3498 0.4451  3 Ir 2.46-2.65
6 Si 0.4892 0.4892 0.1157  1 Si 2.48, 1 Ir 2.51
7 Si 0.5108 0.5108 0.8843  1 Si 2.48, 1 Ir 2.51
8 Si 0.6502 0.6502 0.5549  3 Ir 2.46-2.65
9 Ir 0.2718 0.2718 0.6566  4 Si 2.46-2.65
10 Ir 0.7282 0.7282 0.3434  4 Si 2.46-2.65

As for the space group: C2/m. Its total energy is -6.7423 eV per atom. Its total magnetic moment is 0.0 μB/cell.

=====

(2)
Below is crystalline TcGeTe at its relaxed geometry, with properties calculated at the GGA-PBE level.

Cell: 3.0951 7.6802 7.6802 Å, 84.36 90.00 90.00°
Closest atoms and distances in Å follow each position.
Positions (direct):
1 Tc 0.0000 0.0000 0.0000  4 Ge 2.60, 2 Te 2.71
2 Tc 0.0000 0.1917 0.5062  4 Ge 2.63-2.65, 4 Te 2.82-2.84
3 Tc 0.0000 0.5062 0.1917  4 Ge 2.63-2.65, 4 Te 2.82-2.84
4 Ge 0.5000 0.1883 0.7839  4 Tc 2.60-2.63, 1 Te 2.81
5 Ge 0.5000 0.4725 0.4725  4 Tc 2.65
6 Ge 0.5000 0.7839 0.1883  4 Tc 2.60-2.63, 1 Te 2.81
7 Te 0.5000 0.1958 0.1958  6 Tc 2.71-2.84
8 Te 0.5000 0.5308 0.8836  1 Ge 2.81, 2 Tc 2.82, 2 Te 3.10
9 Te 0.5000 0.8836 0.5308  1 Ge 2.81, 2 Tc 2.82, 2 Te 3.10

As for the space group: Amm2. For the relative energy among the computed polymorphs, the calculation gives 4 meV per atom. Its total energy is -5.8129 eV per atom. Its total magnetic moment is 0.0 μB/cell.

=====

(3)
Below is crystalline NdAuSeO at its relaxed geometry, with properties calculated at the GGA-PBE level.

Cell: 5.7995 5.8098 9.5777 Å, 90.00 90.00 90.00°
Closest atoms and distances in Å follow each position.
Positions (direct):
1 Nd 0.0000 0.0000 0.0000  4 O 2.36
2 Nd 0.0000 0.5000 0.2449  4 O 2.36
3 Nd 0.5000 0.0000 0.2449  4 O 2.36
4 Nd 0.5000 0.5000 0.0000  4 O 2.36
5 Au 0.2499 0.0028 0.6231  2 Se 2.53
6 Au 0.2501 0.5028 0.6231  2 Se 2.53
7 Au 0.7499 0.4972 0.6231  2 Se 2.53
8 Au 0.7501 0.9972 0.6231  2 Se 2.53
9 Se 0.0000 0.0000 0.4070  2 Au 2.53
10 Se 0.0000 0.5000 0.8390  2 Au 2.53
11 Se 0.5000 0.0000 0.8390  2 Au 2.53
12 Se 0.5000 0.5000 0.4070  2 Au 2.53
13 O 0.2501 0.2499 0.1226  4 Nd 2.36
14 O 0.2499 0.7499 0.1226  4 Nd 2.36
15 O 0.7501 0.2501 0.1226  4 Nd 2.36
16 O 0.7499 0.7501 0.1226  4 Nd 2.36

As for the space group: Pba2. Its total energy is -5.9939 eV per atom. Its total magnetic moment is 0.0 μB/cell.

=====

(4)
Below is crystalline YHoNi2C2N2 at its relaxed geometry, with properties calculated at the GGA-PBE level.

Cell: 3.4524 3.4524 7.3207 Å, 90.00 90.00 90.00°
Closest atoms and distances in Å follow each position.
Positions (direct):
1 Y 0.0000 0.0000 0.0000  5 N 2.35-2.45
2 Ho 0.5000 0.5000 0.6546  5 N 2.34-2.45
3 Ni 0.0000 0.5000 0.3279  4 C 2.09
4 Ni 0.5000 0.0000 0.3279  4 C 2.09
5 C 0.0000 0.0000 0.4878  1 N 1.40
6 C 0.5000 0.5000 0.1657  1 N 1.41
7 N 0.0000 0.0000 0.6796  1 C 1.40
8 N 0.5000 0.5000 0.9738  1 C 1.41

As for the space group: P4mm. Its total energy is -7.8015 eV per atom. Its total magnetic moment is 0.0 μB/cell.

=====

(5)
Below is crystalline CsNaAsAu at its relaxed geometry, with properties calculated at the GGA-PBE level.

Cell: 6.5767 6.3131 6.3131 Å, 75.00 90.00 90.00°
Closest atoms and distances in Å follow each position.
Positions (direct):
1 Cs 0.2500 0.1562 0.8438  4 As 3.51-3.71, 3 Na 3.53-3.88, 4 Au 3.59-3.80
2 Cs 0.7500 0.8438 0.1562  4 As 3.51-3.71, 3 Na 3.53-3.88, 4 Au 3.59-3.80
3 Na 0.2500 0.8077 0.4884  1 As 3.10
4 Na 0.7500 0.4884 0.8077  1 As 3.10
5 As 0.2500 0.5920 0.1004  2 Au 2.52
6 As 0.7500 0.1004 0.5920  2 Au 2.52
7 Au 0.0000 0.3204 0.3204  2 As 2.52
8 Au 0.5000 0.3204 0.3204  2 As 2.52

As for the space group: Ama2. For the relative energy among the computed polymorphs, the calculation gives 44 meV per atom. Its total energy is -2.9310 eV per atom.

=====

(6)
Below is crystalline PrAuSO at its relaxed geometry, with properties calculated at the GGA-PBE level.

Cell: 9.1783 5.6636 5.7750 Å, 90.00 90.00 90.00°
Closest atoms and distances in Å follow each position.
Positions (direct):
1 Pr 0.1324 0.0050 0.2500  4 O 2.35-2.36
2 Pr 0.1324 0.4950 0.7500  4 O 2.35-2.36
3 Pr 0.8676 0.5050 0.2500  4 O 2.35-2.36
4 Pr 0.8676 0.9950 0.7500  4 O 2.35-2.36
5 Au 0.4491 0.2500 0.0000  2 S 2.52
6 Au 0.4491 0.2500 0.5000  2 S 2.52
7 Au 0.5509 0.7500 0.0000  2 S 2.52
8 Au 0.5509 0.7500 0.5000  2 S 2.52
9 S 0.2976 0.5190 0.2500  2 Au 2.52
10 S 0.2976 0.9810 0.7500  2 Au 2.52
11 S 0.7024 0.0190 0.2500  2 Au 2.52
12 S 0.7024 0.4810 0.7500  2 Au 2.52
13 O 0.0025 0.7500 0.0000  4 Pr 2.35-2.36
14 O 0.0025 0.7500 0.5000  4 Pr 2.35-2.36
15 O 0.9975 0.2500 0.0000  4 Pr 2.35-2.36
16 O 0.9975 0.2500 0.5000  4 Pr 2.35-2.36

As for the space group: Pbcm. For the relative energy among the computed polymorphs, the calculation gives 131 meV per atom. Its total energy is -6.0440 eV per atom. Its total magnetic moment is 0.0 μB/cell.

=====

(7)
Below is crystalline GdDyAl4Ni2 at its relaxed geometry, with properties calculated at the GGA-PBE level.

Cell: 6.8732 5.5192 5.5192 Å, 43.20 90.00 90.00°
Closest atoms and distances in Å follow each position.
Positions (direct):
1 Gd 0.0000 0.0000 0.0000  3 Ni 2.84-3.06, 4 Al 3.09
2 Dy 0.5000 0.8782 0.8782  3 Ni 2.84-3.06, 4 Al 3.08
3 Al 0.1963 0.2822 0.2822  3 Ni 2.46-2.51, 1 Al 2.70
4 Al 0.3055 0.5967 0.5967  3 Ni 2.47-2.50, 1 Al 2.67
5 Al 0.6945 0.5967 0.5967  3 Ni 2.47-2.50, 1 Al 2.67
6 Al 0.8037 0.2822 0.2822  3 Ni 2.46-2.51, 1 Al 2.70
7 Ni 0.0000 0.7229 0.7229  6 Al 2.47-2.51
8 Ni 0.5000 0.1550 0.1550  6 Al 2.46-2.50

As for the space group: Amm2. Its total energy is -5.0571 eV per atom. Its total magnetic moment is 0.0 μB/cell.

=====

(8)
Below is crystalline PrTm2Mg4In2 at its relaxed geometry, with properties calculated at the GGA-PBE level.

Cell: 4.7105 7.6280 7.6280 Å, 121.30 90.00 90.00°
Closest atoms and distances in Å follow each position.
Positions (direct):
1 Pr 0.0000 0.0000 0.0000  4 In 3.32, 7 Mg 3.32-3.69
2 Tm 0.0000 0.4286 0.8666  4 In 3.22, 3 Mg 3.28-3.41
3 Tm 0.0000 0.8666 0.4286  4 In 3.22, 3 Mg 3.28-3.41
4 Mg 0.0000 0.4444 0.4444  6 Mg 2.93-3.02
5 Mg 0.5000 0.1917 0.4332  2 In 2.90-2.95, 4 Mg 3.02-3.21
6 Mg 0.5000 0.4332 0.1917  2 In 2.90-2.95, 4 Mg 3.02-3.21
7 Mg 0.5000 0.6778 0.6778  4 Mg 2.93-3.17, 2 In 2.94
8 In 0.5000 0.0991 0.7574  3 Mg 2.90-2.95, 4 Tm 3.22
9 In 0.5000 0.7574 0.0991  3 Mg 2.90-2.95, 4 Tm 3.22

As for the space group: Amm2. Its total energy is -3.0895 eV per atom. Its total magnetic moment is 0.0 μB/cell.